Entry from Alexandria via LeMat-Bulk: a geometry-optimized CoPt structure (PBE).

a = 2.7033 Å, b = 5.0399 Å, c = 6.4617 Å
α = 105.75°, β = 90.00°, γ = 105.56°
Site moments in Bohr magnetons follow the coordinates.
Fractional positions:
1 Pt 0.6753 0.3506 0.3385  0.38
2 Pt 0.0389 0.0779 0.6033  0.36
3 Pt 0.7263 0.4526 0.9467  0.39
4 Co 0.3325 0.6651 0.6808  1.93
5 Co 0.9988 0.9975 0.9995  1.92
6 Co 0.3948 0.7897 0.2645  1.90

Summary:
formation energy from the elements: -0.074 eV per atom
size of the total moment: 2.249 μB/f.u.

=====

Entry from Alexandria via LeMat-Bulk: a geometry-optimized Co5Pt7 structure (PBE).

a = 3.8152 Å, b = 6.0413 Å, c = 8.1019 Å
α = 72.62°, β = 76.38°, γ = 71.59°
Site moments in Bohr magnetons follow the coordinates.
Fractional positions:
1 Pt 0.0969 0.5713 0.2348  0.35
2 Pt 0.2479 0.7385 0.7657  0.36
3 Pt 0.8306 0.8361 0.5026  0.23
4 Pt 0.9956 0.0171 0.9916  0.39
5 Pt 0.4134 0.9305 0.2427  0.28
6 Pt 0.4993 0.4924 0.5090  0.29
7 Pt 0.1615 0.1678 0.5092  0.29
8 Co 0.9138 0.4134 0.7590  1.91
9 Co 0.7522 0.2612 0.2344  1.92
10 Co 0.6781 0.6445 0.9993  1.89
11 Co 0.5751 0.0931 0.7566  1.88
12 Co 0.3356 0.3339 0.9950  1.90

Summary:
formation energy from the elements: -0.079 eV per atom
energy relative to the lowest polymorph listed for this composition: 0 meV per atom
size of the total moment: 11.497 μB/f.u.

=====

Entry from Alexandria via LeMat-Bulk: a geometry-optimized CoPt3 structure (PBE).

a = 4.7669 Å, b = 4.7669 Å, c = 2.7518 Å
α = 90.00°, β = 90.00°, γ = 109.54°
Site moments in Bohr magnetons follow the coordinates.
Fractional positions:
1 Pt 0.0000 0.5000 0.5000  0.34
2 Pt 0.5000 0.0000 0.5000  0.34
3 Pt 0.5000 0.5000 0.0000  0.25
4 Co 0.0000 0.0000 0.0000  2.06

Summary:
formation energy from the elements: -0.061 eV per atom
size of the total moment: 2.943 μB/f.u.

=====

Entry from Alexandria via LeMat-Bulk: a geometry-optimized CoPt structure (PBE).

a = 3.8824 Å, b = 3.8824 Å, c = 4.6920 Å
α = 90.00°, β = 90.00°, γ = 120.00°
Site moments in Bohr magnetons follow the coordinates.
Fractional positions:
1 Pt 0.3333 0.6667 0.2500  0.47
2 Pt 0.6667 0.3333 0.7500  0.47
3 Co 0.0000 0.0000 0.5000  2.03
4 Co 0.0000 0.0000 0.0000  2.03

Summary:
formation energy from the elements: 0.319 eV per atom
size of the total moment: 2.520 μB/f.u.